{"formula": "Ba2VRu3O12", "functional": "GGA+U", "state": "optimized geometry", "cell": [[7.142, -0.010, -0.007], [3.518, 6.215, -0.007], [3.518, 2.048, 5.868]], "species": ["Ru", "Ru", "O", "O", "O", "O", "O", "Ru", "O", "O", "O", "V", "O", "Ba", "O", "Ba", "O", "O"], "frac_coords": [[0.000, 0.500, 0.000], [0.500, 0.000, 0.000], [0.327, 0.327, 0.942], [0.327, 0.942, 0.327], [0.673, 0.058, 0.673], [0.935, 0.310, 0.935], [0.065, 0.065, 0.690], [0.000, 0.000, 0.500], [0.065, 0.690, 0.065], [0.942, 0.327, 0.327], [0.310, 0.935, 0.935], [0.000, 0.000, 0.000], [0.673, 0.673, 0.058], [0.337, 0.337, 0.337], [0.690, 0.065, 0.065], [0.663, 0.663, 0.663], [0.935, 0.935, 0.310], [0.058, 0.673, 0.673]], "magnetic_moment_mub_per_fu": 7.09, "dos_at_fermi_per_ev_cell": 5.91, "e_tot_ev_per_atom": -6.97}